Density functional theory data (GGA-PBE) for a relaxed Fe5Co3 crystal.

Summary:
Its formation energy is -18 meV/atom. As for the symmetry: No. 115. The polymorph energy (0 for the lowest one) is 0.992 kcal/mol of atoms.

Cell lengths 4.0150, 4.0150, 5.7117 Å; angles 90.00, 90.00, 90.00 degrees
With the nearest neighbours (Å) after each atom.
Sites, in units of the cell vectors:
1 Fe 0.5000 0.5000 0.0057  6 Fe 2.44-2.48, 2 Co 2.44
2 Fe 0.0000 0.5000 0.7500  4 Co 2.45, 4 Fe 2.48
3 Fe 0.0000 0.5000 0.2500  4 Fe 2.44, 4 Co 2.48
4 Fe 0.0000 0.0000 0.4943  6 Fe 2.44-2.48, 2 Co 2.44
5 Fe 0.5000 0.0000 0.7500  4 Co 2.45, 4 Fe 2.48
6 Co 0.0000 0.0000 0.9961  6 Fe 2.45-2.48, 2 Co 2.48
7 Co 0.5000 0.0000 0.2500  4 Fe 2.44, 4 Co 2.48
8 Co 0.5000 0.5000 0.5039  6 Fe 2.45-2.48, 2 Co 2.48

---

Density functional theory data (GGA-PBE) for a relaxed Fe7Co crystal.

Summary:
Its formation energy is -15 meV/atom. As for the symmetry: No. 12. The polymorph energy (0 for the lowest one) is 0.093 kcal/mol of atoms.

Cell lengths 4.7232, 4.7232, 5.6663 Å; angles 72.57, 72.57, 50.52 degrees
With the nearest neighbours (Å) after each atom.
Sites, in units of the cell vectors:
1 Co 0.0000 0.0000 0.0000  8 Fe 2.45-2.46
2 Fe 0.4997 0.4997 0.7509  2 Co 2.46, 6 Fe 2.47-2.48
3 Fe 0.0000 0.0000 0.5000  8 Fe 2.46-2.47
4 Fe 0.7509 0.7509 0.3740  1 Co 2.46, 7 Fe 2.46-2.48
5 Fe 0.2491 0.2491 0.6260  1 Co 2.46, 7 Fe 2.46-2.48
6 Fe 0.5003 0.5003 0.2491  2 Co 2.46, 6 Fe 2.47-2.48
7 Fe 0.7516 0.7516 0.8749  1 Co 2.45, 7 Fe 2.46-2.48
8 Fe 0.2484 0.2484 0.1251  1 Co 2.45, 7 Fe 2.46-2.48

---

Density functional theory data (GGA-PBE) for a relaxed Fe3Co7 crystal.

Summary:
Its formation energy is 15 meV/atom. As for the symmetry: No. 12.

Cell lengths 3.5397, 5.0309, 6.6555 Å; angles 101.29, 105.42, 90.00 degrees
With the nearest neighbours (Å) after each atom.
Sites, in units of the cell vectors:
1 Co 0.2004 0.1004 0.4008  7 Co 2.50-2.52, 5 Fe 2.50-2.53
2 Co 0.5990 0.3005 0.1980  5 Fe 2.50-2.56, 7 Co 2.50-2.52
3 Co 0.4010 0.6995 0.8020  5 Fe 2.50-2.56, 7 Co 2.50-2.52
4 Co 0.6007 0.8025 0.2015  4 Fe 2.49-2.51, 8 Co 2.50-2.52
5 Co 0.3993 0.1975 0.7985  4 Fe 2.49-2.51, 8 Co 2.50-2.52
6 Co 0.7996 0.8996 0.5992  7 Co 2.50-2.52, 5 Fe 2.50-2.53
7 Co 0.0000 0.5000 0.0000  4 Fe 2.47-2.52, 8 Co 2.50-2.51
8 Fe 0.8031 0.3984 0.6061  10 Co 2.47-2.56, 2 Fe 2.57
9 Fe 0.1969 0.6016 0.3939  10 Co 2.47-2.56, 2 Fe 2.57
10 Fe 0.0000 0.0000 0.0000  12 Co 2.50-2.52

---

Density functional theory data (GGA-PBE) for a relaxed Fe5Co3 crystal.

Summary:
Its formation energy is -58 meV/atom. As for the symmetry: No. 229. The polymorph energy (0 for the lowest one) is 0.066 kcal/mol of atoms.

Cell lengths 4.9358, 4.9358, 4.9358 Å; angles 109.47, 109.47, 109.47 degrees
With the nearest neighbours (Å) after each atom.
Sites, in units of the cell vectors:
1 Fe 0.0000 0.5000 0.0000  6 Co 2.47, 2 Fe 2.47
2 Fe 0.5000 0.0000 0.0000  6 Co 2.47, 2 Fe 2.47
3 Fe 0.5000 0.5000 0.5000  6 Co 2.47, 2 Fe 2.47
4 Fe 0.0000 0.0000 0.0000  8 Fe 2.47
5 Fe 0.0000 0.0000 0.5000  6 Co 2.47, 2 Fe 2.47
6 Co 0.5000 0.0000 0.5000  8 Fe 2.47
7 Co 0.0000 0.5000 0.5000  8 Fe 2.47
8 Co 0.5000 0.5000 0.0000  8 Fe 2.47

---

Density functional theory data (GGA-PBE) for a relaxed Fe2Co3 crystal.

Summary:
Its formation energy is 597 meV/atom. As for the symmetry: No. 155. The polymorph energy (0 for the lowest one) is 14.399 kcal/mol of atoms.

Cell lengths 4.0619, 4.0619, 4.0619 Å; angles 86.39, 93.61, 86.39 degrees
With the nearest neighbours (Å) after each atom.
Sites, in units of the cell vectors:
1 Co 0.7643 0.7643 0.0000  4 Fe 2.32-2.51, 4 Co 2.41-2.42
2 Co 0.0000 0.2357 0.2357  4 Fe 2.32-2.51, 4 Co 2.41-2.42
3 Co 0.2357 0.0000 0.7643  4 Fe 2.32-2.51, 4 Co 2.41-2.42
4 Fe 0.3168 0.6832 0.3168  6 Co 2.32-2.51, 1 Fe 2.41
5 Fe 0.6832 0.3168 0.6832  6 Co 2.32-2.51, 1 Fe 2.41

---

Density functional theory data (GGA-PBE) for a relaxed FeCo7 crystal.

Summary:
Its formation energy is 62 meV/atom. As for the symmetry: No. 123. The polymorph energy (0 for the lowest one) is 1.222 kcal/mol of atoms.

Cell lengths 2.8171, 2.8171, 11.2930 Å; angles 90.00, 90.00, 90.00 degrees
With the nearest neighbours (Å) after each atom.
Sites, in units of the cell vectors:
1 Co 0.0000 0.0000 0.7501  4 Fe 2.44, 4 Co 2.46
2 Co 0.5000 0.5000 0.6216  8 Co 2.43-2.46
3 Co 0.0000 0.0000 0.4987  8 Co 2.43
4 Co 0.0000 0.0000 0.9999  4 Fe 2.44, 4 Co 2.46
5 Co 0.0000 0.0000 0.2513  8 Co 2.43
6 Co 0.5000 0.5000 0.3750  8 Co 2.43
7 Co 0.5000 0.5000 0.1284  8 Co 2.43-2.46
8 Fe 0.5000 0.5000 0.8750  8 Co 2.44

---

Density functional theory data (GGA-PBE) for a relaxed Fe4Co3 crystal.

Summary:
Its formation energy is 7 meV/atom. As for the symmetry: No. 139. The polymorph energy (0 for the lowest one) is 1.309 kcal/mol of atoms.

Cell lengths 10.2560, 10.2560, 10.2560 Å; angles 164.19, 164.19, 22.43 degrees
With the nearest neighbours (Å) after each atom.
Sites, in units of the cell vectors:
1 Fe 0.1428 0.1428 0.0000  8 Fe 2.46-2.47
2 Fe 0.7143 0.7143 0.0000  8 Fe 2.46-2.47
3 Fe 0.5700 0.5700 0.0000  4 Co 2.44, 4 Fe 2.47
4 Fe 0.2871 0.2871 0.0000  4 Co 2.44, 4 Fe 2.47
5 Co 0.8571 0.8571 0.0000  4 Fe 2.44, 4 Co 2.46
6 Co 0.0001 0.0001 0.0000  4 Fe 2.44, 4 Co 2.46
7 Co 0.4286 0.4286 0.0000  8 Co 2.46

---

Density functional theory data (GGA-PBE) for a relaxed Fe2Co5 crystal.

Summary:
Its formation energy is 29 meV/atom. As for the symmetry: No. 166. The polymorph energy (0 for the lowest one) is 0.469 kcal/mol of atoms.

Cell lengths 6.1618, 6.1618, 6.1618 Å; angles 37.80, 37.80, 37.80 degrees
With the nearest neighbours (Å) after each atom.
Sites, in units of the cell vectors:
1 Co 0.5711 0.5711 0.5711  4 Fe 2.44-2.45, 4 Co 2.45-2.47
2 Co 0.1445 0.1445 0.1445  5 Co 2.42-2.47, 3 Fe 2.44
3 Co 0.2857 0.2857 0.2857  8 Co 2.42-2.45
4 Co 0.4270 0.4270 0.4270  5 Co 2.42-2.47, 3 Fe 2.44
5 Co 0.0003 0.0003 0.0003  4 Fe 2.44-2.45, 4 Co 2.45-2.47
6 Fe 0.7138 0.7138 0.7138  7 Co 2.44-2.45, 1 Fe 2.46
7 Fe 0.8576 0.8576 0.8576  7 Co 2.44-2.45, 1 Fe 2.46

---

Density functional theory data (GGA-PBE) for a relaxed Fe5Co3 crystal.

Summary:
Its formation energy is -33 meV/atom. As for the symmetry: No. 2. The polymorph energy (0 for the lowest one) is 0.642 kcal/mol of atoms.

Cell lengths 4.7275, 4.7280, 4.7153 Å; angles 85.11, 84.62, 117.16 degrees
With the nearest neighbours (Å) after each atom.
Sites, in units of the cell vectors:
1 Co 0.6250 0.1250 0.7500  6 Fe 2.46, 2 Co 2.48
2 Co 0.9989 0.9979 0.0012  6 Fe 2.45-2.47, 2 Co 2.48
3 Co 0.2511 0.2521 0.4988  6 Fe 2.45-2.47, 2 Co 2.48
4 Fe 0.3732 0.8772 0.2483  3 Co 2.45-2.46, 5 Fe 2.46-2.48
5 Fe 0.8768 0.3728 0.2517  3 Co 2.45-2.46, 5 Fe 2.46-2.48
6 Fe 0.4991 0.4972 0.0009  4 Co 2.45-2.47, 4 Fe 2.48
7 Fe 0.7509 0.7528 0.4991  4 Co 2.45-2.47, 4 Fe 2.48
8 Fe 0.1250 0.6250 0.7500  4 Co 2.46, 4 Fe 2.47-2.48

---

Density functional theory data (GGA-PBE) for a relaxed Fe5Co3 crystal.

Summary:
Its formation energy is -24 meV/atom. As for the symmetry: No. 107. The polymorph energy (0 for the lowest one) is 0.842 kcal/mol of atoms.

Cell lengths 6.3899, 6.3899, 6.3899 Å; angles 143.40, 143.40, 52.73 degrees
With the nearest neighbours (Å) after each atom.
Sites, in units of the cell vectors:
1 Co 0.4995 0.4995 0.0000  6 Fe 2.45, 2 Co 2.49
2 Co 0.1277 0.6277 0.5000  4 Fe 2.44, 4 Co 2.49
3 Co 0.9995 0.9995 0.0000  6 Fe 2.45, 2 Co 2.49
4 Fe 0.3771 0.8771 0.5000  4 Co 2.45, 4 Fe 2.49
5 Fe 0.7484 0.7484 0.0000  2 Co 2.44, 6 Fe 2.47-2.49
6 Fe 0.8765 0.3765 0.5000  4 Co 2.45, 4 Fe 2.49
7 Fe 0.6229 0.1229 0.5000  4 Co 2.45, 4 Fe 2.47
8 Fe 0.2484 0.2484 0.0000  2 Co 2.44, 6 Fe 2.47-2.49